[1]
Computed, not measured: LiCl3O after structural relaxation at the GGA-PBE level of DFT.

## Properties
Raw formation energy (eV/atom): 0.25
Excess energy over the best structure of this formula in the dataset (eV/f.u.): 1.64

The structure in CIF format:
```
data_LiCl3O
_cell_length_a 4.7800
_cell_length_b 4.7800
_cell_length_c 4.7800
_cell_angle_alpha 90.00
_cell_angle_beta 90.00
_cell_angle_gamma 90.00
_symmetry_space_group_name_H-M 'P m -3 m'
_symmetry_Int_Tables_number 221
_symmetry_space_group_name_Hall '-P 4 2 3'
loop_
_atom_site_label
_atom_site_type_symbol
_atom_site_fract_x
_atom_site_fract_y
_atom_site_fract_z
Li1 Li 0.0000 0.0000 0.0000
Cl1 Cl 0.0000 0.0000 0.5000
O1 O 0.5000 0.5000 0.5000
```


[2]
Computed, not measured: Na2GeSe4 after structural relaxation at the GGA-PBE level of DFT.

## Properties
Raw formation energy (eV/atom): -0.24
Excess energy over the best structure of this formula in the dataset (eV/f.u.): 0.80

The structure in CIF format:
```
data_Na2GeSe4
_cell_length_a 5.2042
_cell_length_b 5.2042
_cell_length_c 14.5466
_cell_angle_alpha 90.00
_cell_angle_beta 90.00
_cell_angle_gamma 90.00
_symmetry_space_group_name_H-M 'I 4/m m m'
_symmetry_Int_Tables_number 139
_symmetry_space_group_name_Hall '-I 4 2'
loop_
_atom_site_label
_atom_site_type_symbol
_atom_site_fract_x
_atom_site_fract_y
_atom_site_fract_z
Na1 Na 0.0000 0.0000 0.1239
Ge1 Ge 0.0000 0.0000 0.5000
Se1 Se 0.0000 0.0000 0.3367
Se2 Se 0.0000 0.5000 0.0000
```


[3]
Computed, not measured: PmDy2Pb3 after structural relaxation at the GGA-PBE level of DFT.

## Properties
Excess energy over the best structure of this formula in the dataset (eV/f.u.): 0.00
DFT formation energy (meV per atom): -506.3

The structure in CIF format:
```
data_PmDy2Pb3
_cell_length_a 17.0639
_cell_length_b 6.4588
_cell_length_c 6.4382
_cell_angle_alpha 90.00
_cell_angle_beta 100.79
_cell_angle_gamma 90.00
_symmetry_space_group_name_H-M 'C 1 2/c 1'
_symmetry_Int_Tables_number 15
_symmetry_space_group_name_Hall '-C 2yc'
loop_
_atom_site_label
_atom_site_type_symbol
_atom_site_fract_x
_atom_site_fract_y
_atom_site_fract_z
Pm1 Pm 0.0000 0.1253 0.2500
Dy1 Dy 0.1663 0.3756 0.0800
Pb1 Pb 0.0000 0.3760 0.7500
Pb2 Pb 0.1690 0.1246 0.5854
```